Record 1
This record from Alexandria via LeMat-Bulk describes Ba2CdBi after structural relaxation. The functional is GGA-PBE.

Output
As for the volume: 46.4 Å³/atom. The distance to the lowest polymorph of the same formula comes out at 265 meV per atom. The value obtained for the energy relative to the elements is -0.370 eV per atom.

Lattice parameters (Å, degrees): 9.390 9.390 7.863 53.34 53.34 90.00
Atoms (fractional coordinates):
Cd  0.500  0.500  0.000
Cd  0.250  0.750  0.500
Bi  0.000  0.000  0.000
Bi  0.750  0.250  0.500
Ba  0.634  0.125  0.250
Ba  0.116  0.625  0.250
Ba  0.375  0.366  0.750
Ba  0.875  0.884  0.750

***

Record 2
This record from Alexandria via LeMat-Bulk describes Ba11Cd8Bi14 after structural relaxation. The functional is GGA-PBE.

Output
As for the volume: 37.6 Å³/atom. The value obtained for the energy relative to the elements is -0.657 eV per atom.

Lattice parameters (Å, degrees): 14.636 14.636 17.183 88.22 88.22 19.73
Atoms (fractional coordinates):
Bi  0.443  0.443  0.527
Bi  0.093  0.093  0.983
Bi  0.850  0.850  0.746
Bi  0.907  0.907  0.017
Bi  0.150  0.150  0.254
Bi  0.137  0.137  0.688
Bi  0.744  0.744  0.882
Bi  0.557  0.557  0.473
Bi  0.274  0.274  0.456
Bi  0.508  0.508  0.209
Bi  0.726  0.726  0.544
Bi  0.863  0.863  0.312
Bi  0.492  0.492  0.791
Bi  0.256  0.256  0.118
Ba  0.258  0.258  0.705
Ba  0.620  0.620  0.835
Ba  0.855  0.855  0.539
Ba  0.346  0.346  0.907
Ba  0.010  0.010  0.635
Ba  0.500  0.500  0.000
Ba  0.742  0.742  0.295
Ba  0.654  0.654  0.093
Ba  0.145  0.145  0.461
Ba  0.380  0.380  0.165
Ba  0.990  0.990  0.365
Cd  0.202  0.202  0.957
Cd  0.618  0.618  0.607
Cd  0.798  0.798  0.043
Cd  0.404  0.404  0.691
Cd  0.382  0.382  0.393
Cd  0.059  0.059  0.154
Cd  0.941  0.941  0.846
Cd  0.596  0.596  0.309

***

Record 3
This record from Alexandria via LeMat-Bulk describes Ba3CdBi after structural relaxation. The functional is GGA-PBE.

Output
As for the volume: 49.5 Å³/atom. The distance to the lowest polymorph of the same formula comes out at 0 meV per atom. The value obtained for the energy relative to the elements is -0.516 eV per atom.

Lattice parameters (Å, degrees): 5.302 10.437 10.764 102.38 75.66 120.45
Atoms (fractional coordinates):
Ba  0.073  0.383  0.617
Ba  0.742  0.276  0.067
Ba  0.830  0.980  0.303
Ba  0.927  0.617  0.383
Ba  0.170  0.020  0.697
Ba  0.258  0.724  0.933
Cd  0.471  0.407  0.871
Cd  0.529  0.593  0.129
Bi  0.485  0.780  0.589
Bi  0.515  0.220  0.411

***

Record 4
This record from Alexandria via LeMat-Bulk describes BaCd12Bi6 after structural relaxation. The functional is GGA-PBE.

Output
As for the volume: 30.3 Å³/atom. The value obtained for the energy relative to the elements is -0.037 eV per atom.

Lattice parameters (Å, degrees): 8.953 8.953 8.953 108.29 108.29 108.29
Atoms (fractional coordinates):
Ba  0.000  0.000  0.000
Cd  0.901  0.099  0.500
Cd  0.790  0.582  0.582
Cd  0.582  0.582  0.790
Cd  0.418  0.210  0.418
Cd  0.418  0.418  0.210
Cd  0.210  0.418  0.418
Cd  0.099  0.500  0.901
Cd  0.500  0.901  0.099
Cd  0.099  0.901  0.500
Cd  0.901  0.500  0.099
Cd  0.500  0.099  0.901
Cd  0.582  0.790  0.582
Bi  0.806  0.296  0.296
Bi  0.296  0.296  0.806
Bi  0.296  0.806  0.296
Bi  0.704  0.704  0.194
Bi  0.194  0.704  0.704
Bi  0.704  0.194  0.704

***

no.,density of states at the Fermi level (states/eV per cell)
1,2.56
2,6.69
3,9.28
4,4.90